Crystalline SrAcEuGa at its relaxed geometry, computed with PBE.

Cell and atoms, written as POSCAR:
```
SrAcEuGa
1.0
-5.8345 0.4408 0.1592
-2.8046 -0.1149 5.1363
-2.5121 4.8638 2.0723
Sr Ac Eu Ga
1 1 1 1
Cartesian
0.0000 0.0000 0.0000 Sr
-5.5756 2.5949 3.6839 Ac
-8.3634 3.8923 5.5259 Eu
-2.7878 1.2974 1.8420 Ga
```

Computed properties:
Calculated volume (Å³/f.u.): 141.80
Electronic total energy (eV per atom): -4.7919



Crystalline TiAl2Pd2Au at its relaxed geometry, computed with PBE.

Cell and atoms, written as POSCAR:
```
TiAl2Pd2Au
1.0
4.4436 0.0000 0.0000
-2.2218 3.8483 0.0000
0.0000 0.0000 5.4898
Pd Ti Al Au
2 1 2 1
Cartesian
0.0000 2.5655 0.8542 Pd
2.2218 1.2828 4.6357 Pd
0.0000 0.0000 0.0000 Ti
0.0000 2.5655 3.7017 Al
2.2218 1.2828 1.7881 Al
0.0000 0.0000 2.7449 Au
```

Computed properties:
Calculated volume (Å³/f.u.): 93.88
Electronic total energy (eV per atom): -5.4723



Crystalline LiTeW2 at its relaxed geometry, computed with PBE.

Cell and atoms, written as POSCAR:
```
LiTeW2
1.0
9.1852 -0.0052 -0.0031
8.6839 2.9928 -0.0031
8.6839 1.4519 2.6170
W Te Li
2 1 1
Cartesian
13.1622 2.2006 1.2942 W
0.1144 0.0191 0.0112 W
19.9148 3.3296 1.9582 Te
6.6383 1.1099 0.6527 Li
```

Computed properties:
Calculated volume (Å³/f.u.): 72.14
Electronic total energy (eV per atom): -6.8333
Formation energy from raw total energies (eV per atom): 0.91



Crystalline NiTeBr2 at its relaxed geometry, computed with PBE.

Cell and atoms, written as POSCAR:
```
NiTeBr2
1.0
-4.9772 -0.5732 -1.3044
1.3254 -4.8996 1.0196
-2.8888 -2.2344 3.6748
Ni Te Br
1 1 2
Cartesian
-3.9330 -1.4038 1.1852 Ni
-0.7817 -3.5670 2.3472 Te
0.0000 0.0000 0.0000 Br
-1.8259 -2.7364 -0.1424 Br
```

Computed properties:
E above lowest polymorph (eV per atom): 0.6150
Calculated volume (Å³/f.u.): 105.08
Electronic total energy (eV per atom): -2.7004
Formation energy from raw total energies (eV per atom): 0.37



Crystalline RePdW2N at its relaxed geometry, computed with PBE.

Cell and atoms, written as POSCAR:
```
RePdW2N
1.0
4.1140 0.0000 0.0000
0.0000 4.1140 0.0000
0.0000 0.0000 4.0718
W N Re Pd
2 1 1 1
Cartesian
0.0000 2.0570 0.0000 W
2.0570 0.0000 0.0000 W
0.0000 0.0000 0.0000 N
0.0000 0.0000 2.0359 Re
2.0570 2.0570 2.0359 Pd
```

Computed properties:
Calculated volume (Å³/f.u.): 68.91
Electronic total energy (eV per atom): -10.2793
Formation energy from raw total energies (eV per atom): 0.10



Crystalline Na3LaBi2Te6 at its relaxed geometry, computed with PBE.

Cell and atoms, written as POSCAR:
```
Na3LaBi2Te6
1.0
-6.8397 0.9457 -3.8157
4.6405 -6.1536 -1.6837
-2.8090 -2.3928 7.1575
Te Na Bi La
6 3 2 1
Cartesian
-5.7506 -4.5214 0.9657 Te
-1.8332 -6.9439 1.6932 Te
0.7424 -3.0793 0.6925 Te
-2.2996 -4.4231 -2.3457 Te
-2.7086 -3.1776 4.0039 Te
-3.1749 -0.6568 -0.0351 Te
-6.3015 -1.4521 0.1238 Na
1.2933 -6.1486 1.5343 Na
-2.5041 -3.8004 0.8291 Na
0.8139 -3.7872 -2.3943 Bi
-3.0131 -1.4207 -3.1051 Bi
0.0000 0.0000 0.0000 La
```

Computed properties:
Calculated volume (Å³/f.u.): 410.19
Electronic total energy (eV per atom): -3.7839
Formation energy from raw total energies (eV per atom): -0.83



calculated volume of number 1 (SrAcEuGa)? 141.80 Å³/f.u.